4
Lattice="0.000 3.239 3.239 3.239 0.000 3.239 3.239 3.239 0.000" Properties=species:S:1:pos:R:3 comment="meta-GGA SCAN YTa2H, single point on PBEsol structure" final_energy_ev_per_atom=-39.43 dos_at_fermi_per_ev_cell=3.92 m_tot_mub_per_cell=0.00 pbc="T T T"
Y 0.000 0.000 0.000
Ta 1.619 1.619 1.619
Ta 4.858 4.858 4.858
H 3.239 3.239 3.239